# 1
Compound: BaRu2Cl
Source: the Alexandria database
Functional: PBE
Structure: optimized geometry

abc: 3.3761 3.3987 8.3439
angles: 78.07 90.00 90.00
Fractional positions:
Ba1 0.0000 0.5629 0.4979
Cl1 0.5000 0.9429 0.7340
Ru1 0.0000 0.7742 0.0803
Ru2 0.5000 0.2199 0.1877

## Properties
The energy relative to the lowest polymorph listed for this composition comes out at 86 meV per atom. Its formation energy without anion corrections is 0.027 eV per atom. The value obtained for the theoretical density is 6.6 Mg/m³.



# 2
Compound: Ba3RuCl
Source: the Alexandria database
Functional: PBE
Structure: optimized geometry

abc: 5.9988 5.9988 5.9988
angles: 90.00 90.00 90.00
Fractional positions:
Ru1 0.0000 0.0000 0.0000
Ba1 0.0000 0.5000 0.0000
Ba2 0.0000 0.0000 0.5000
Ba3 0.5000 0.0000 0.0000
Cl1 0.5000 0.5000 0.5000

## Properties
The energy relative to the lowest polymorph listed for this composition comes out at 0 meV per atom. Its formation energy without anion corrections is -0.268 eV per atom. The value obtained for the theoretical density is 4.2 Mg/m³.



# 3
Compound: BaRu2Cl
Source: the Alexandria database
Functional: PBE
Structure: optimized geometry

abc: 4.8874 4.8874 4.8874
angles: 60.00 60.00 60.00
Each line ends with the local moment (μB).
Fractional positions:
Ru1 0.2500 0.2500 0.2500  1.56
Ru2 0.7500 0.7500 0.7500  1.56
Ba1 0.5000 0.5000 0.5000  -0.07
Cl1 0.0000 0.0000 0.0000  0.14

## Properties
The energy relative to the lowest polymorph listed for this composition comes out at 1195 meV per atom. Its formation energy without anion corrections is 1.137 eV per atom. The value obtained for the theoretical density is 7.5 Mg/m³.



# 4
Compound: BaRuCl5
Source: the Alexandria database
Functional: PBE
Structure: optimized geometry

abc: 7.8323 7.8323 10.1801
angles: 78.80 119.97 127.10
Each line ends with the local moment (μB).
Fractional positions:
Ba1 0.7669 0.5169 0.2500  0.00
Ba2 0.2331 0.4831 0.7500  0.00
Ru1 0.0000 0.0000 0.0000  0.79
Ru2 0.5000 0.0000 0.5000  0.79
Cl1 0.7134 0.8806 0.0836  0.02
Cl2 0.1717 0.8763 0.5432  0.02
Cl3 0.7031 0.3703 0.5836  0.02
Cl4 0.3220 0.0720 0.2500  0.04
Cl5 0.8332 0.6285 0.9568  0.02
Cl6 0.1668 0.3715 0.0432  0.02
Cl7 0.6780 0.9280 0.7500  0.04
Cl8 0.2969 0.6297 0.4164  0.02
Cl9 0.8283 0.1237 0.4568  0.02
Cl10 0.2866 0.1194 0.9164  0.02

## Properties
Its formation energy without anion corrections is -1.294 eV per atom. The value obtained for the theoretical density is 3.2 Mg/m³.



# 5
Compound: BaRu2Cl
Source: the Alexandria database
Functional: PBE
Structure: optimized geometry

abc: 4.9951 4.9951 8.6827
angles: 73.28 73.28 90.00
Fractional positions:
Ru1 0.3750 0.1250 0.2500
Ru2 0.3750 0.6250 0.2500
Ru3 0.3750 0.6250 0.7500
Ru4 0.8750 0.6250 0.7500
Ba1 0.0000 0.0000 0.0000
Ba2 0.7500 0.2500 0.5000
Cl1 0.5000 0.5000 0.0000
Cl2 0.2500 0.7500 0.5000

## Properties
The energy relative to the lowest polymorph listed for this composition comes out at 345 meV per atom. Its formation energy without anion corrections is 0.286 eV per atom. The value obtained for the theoretical density is 6.3 Mg/m³.



# 6
Compound: BaRu2Cl
Source: the Alexandria database
Functional: PBE
Structure: optimized geometry

abc: 9.4628 9.4628 9.4628
angles: 18.92 18.92 18.92
Fractional positions:
Ba1 0.2500 0.2500 0.2500
Cl1 0.7500 0.7500 0.7500
Ru1 0.0162 0.0162 0.0162
Ru2 0.4838 0.4838 0.4838

## Properties
The energy relative to the lowest polymorph listed for this composition comes out at 1188 meV per atom. Its formation energy without anion corrections is 1.130 eV per atom. The value obtained for the theoretical density is 8.0 Mg/m³.



# 7
Compound: BaRu2Cl
Source: the Alexandria database
Functional: PBE
Structure: optimized geometry

abc: 4.1415 4.1415 5.8851
angles: 90.00 90.00 90.00
Each line ends with the local moment (μB).
Fractional positions:
Ba1 0.5000 0.5000 0.2500  0.05
Cl1 0.5000 0.5000 0.7500  0.08
Ru1 0.0000 0.0000 0.9511  1.97
Ru2 0.0000 0.0000 0.5489  1.97

## Properties
The energy relative to the lowest polymorph listed for this composition comes out at 1025 meV per atom. Its formation energy without anion corrections is 0.966 eV per atom. The value obtained for the theoretical density is 6.2 Mg/m³.



# 8
Compound: BaRu2Cl
Source: the Alexandria database
Functional: PBE
Structure: optimized geometry

abc: 3.3073 3.3073 7.6266
angles: 90.00 90.00 104.89
Fractional positions:
Ba1 0.5000 0.5000 0.2500
Cl1 0.5000 0.5000 0.7500
Ru1 0.0000 0.0000 0.9360
Ru2 0.0000 0.0000 0.5640

## Properties
The energy relative to the lowest polymorph listed for this composition comes out at 1125 meV per atom. Its formation energy without anion corrections is 1.066 eV per atom. The value obtained for the theoretical density is 7.7 Mg/m³.



# 9
Compound: BaRu2Cl
Source: the Alexandria database
Functional: PBE
Structure: optimized geometry

abc: 3.9284 3.8661 7.4835
angles: 59.04 90.00 90.00
Fractional positions:
Ba1 0.5000 0.5000 0.5000
Cl1 0.0000 0.0000 0.5000
Ru1 0.0000 0.0000 0.0000
Ru2 0.5000 0.5000 0.0000

## Properties
The energy relative to the lowest polymorph listed for this composition comes out at 507 meV per atom. Its formation energy without anion corrections is 0.448 eV per atom. The value obtained for the theoretical density is 6.4 Mg/m³.



# 10
Compound: BaRu2Cl
Source: the Alexandria database
Functional: PBE
Structure: optimized geometry

abc: 6.9588 6.9588 6.9588
angles: 147.45 147.45 46.69
Fractional positions:
Ba1 0.2500 0.7500 0.5000
Cl1 0.7500 0.2500 0.5000
Ru1 0.0000 0.0000 0.0000
Ru2 0.5000 0.5000 0.0000

## Properties
The energy relative to the lowest polymorph listed for this composition comes out at 505 meV per atom. Its formation energy without anion corrections is 0.446 eV per atom. The value obtained for the theoretical density is 6.4 Mg/m³.



# 11
Compound: Ba4RuCl
Source: the Alexandria database
Functional: PBE
Structure: optimized geometry

abc: 7.0808 7.0808 7.0808
angles: 60.00 60.00 60.00
Each line ends with the local moment (μB).
Fractional positions:
Ba1 0.8775 0.3742 0.3742  -0.12
Ba2 0.3742 0.3742 0.8775  -0.12
Ba3 0.3742 0.8775 0.3742  -0.12
Ba4 0.3742 0.3742 0.3742  -0.12
Ru1 0.0000 0.0000 0.0000  1.76
Cl1 0.7500 0.7500 0.7500  0.00

## Properties
Its formation energy without anion corrections is 0.662 eV per atom. The value obtained for the theoretical density is 4.5 Mg/m³.



# 12
Compound: BaRu2Cl
Source: the Alexandria database
Functional: PBE
Structure: optimized geometry

abc: 4.0354 4.0354 7.4879
angles: 78.93 78.93 58.28
Fractional positions:
Ba1 0.4775 0.4775 0.5207
Cl1 0.2201 0.2201 0.2268
Ru1 0.0771 0.0771 0.8301
Ru2 0.7253 0.7253 0.9223

## Properties
The energy relative to the lowest polymorph listed for this composition comes out at 0 meV per atom. Its formation energy without anion corrections is -0.059 eV per atom. The value obtained for the theoretical density is 6.2 Mg/m³.